1.
# GdHoAgPd PBE optimized geometry
# DFT formation energy (eV/atom): -0.574
data_GdHoAgPd
_chemical_formula_sum 'Gd4 Ho4 Ag4 Pd4'
_space_group_name_H-M_alt 'F -4 3 m'
_space_group_IT_number 216
_space_group_name_Hall 'F -4 2 3'
_cell_length_a 7.161
_cell_length_b 7.161
_cell_length_c 7.161
_cell_angle_alpha 90.00
_cell_angle_beta 90.00
_cell_angle_gamma 90.00
loop_
_atom_site_label
_atom_site_fract_x
_atom_site_fract_y
_atom_site_fract_z
Gd1 0.000 0.000 0.000
Ho1 0.000 0.000 0.500
Ag1 0.250 0.250 0.250
Pd1 0.250 0.250 0.750


2.
# YEr2Tm PBE optimized geometry
# Energy relative to the lowest polymorph listed for this composition (meV per atom): 3.8
# DFT formation energy (eV/atom): 0.013
data_YEr2Tm
_chemical_formula_sum 'Y3 Er6 Tm3'
_space_group_name_H-M_alt 'R 3 m'
_space_group_IT_number 160
_space_group_name_Hall 'R 3 -2"'
_cell_length_a 3.5498
_cell_length_b 3.5498
_cell_length_c 33.9630
_cell_angle_alpha 90.00
_cell_angle_beta 90.00
_cell_angle_gamma 120.00
loop_
_atom_site_label
_atom_site_fract_x
_atom_site_fract_y
_atom_site_fract_z
Y1 0.0000 0.0000 0.0000
Er1 0.0000 0.0000 0.5823
Er2 0.0000 0.0000 0.7500
Tm1 0.0000 0.0000 0.1658


| no. | density of states at the Fermi level (states/eV/atom) |
| --- | --- |
| 1 | 0.778 |
| 2 | 1.565 |